Computed, not measured: an optimized crystal structure of Cs2U3NiO12 at the PBE+U level of DFT.

Values from the calculation:
DFT total energy: -0.290 Ha/atom
Density of states at the Fermi level: 13.02 states/eV/cell

Cell lengths 7.495, 7.495, 7.495 Å; angles 64.16, 64.16, 64.16 degrees
Positions (direct):
Cs 0.128 0.128 0.128
Cs 0.872 0.872 0.872
U 0.000 0.500 0.500
U 0.500 0.000 0.500
U 0.500 0.500 0.000
Ni 0.500 0.500 0.500
O 0.178 0.178 0.559
O 0.178 0.559 0.178
O 0.199 0.557 0.557
O 0.441 0.822 0.822
O 0.443 0.443 0.801
O 0.443 0.801 0.443
O 0.557 0.199 0.557
O 0.557 0.557 0.199
O 0.559 0.178 0.178
O 0.801 0.443 0.443
O 0.822 0.441 0.822
O 0.822 0.822 0.441